No. 1
VASP calculation (PBE) on crystalline TlAg2Te at its relaxed geometry.

Cell: 7.2996 7.2996 7.2996 Å, 90.00 90.00 90.00°
With the nearest neighbours (Å) after each atom.
Space group Fm-3m (No. 225)
One atom of each set of equivalent atoms:
1 Tl 0.0000 0.0000 0.0000 (multiplicity 4)  8 Ag 3.16
2 Ag 0.2500 0.2500 0.2500 (multiplicity 8)  4 Te 3.16, 4 Tl 3.16
3 Te 0.0000 0.0000 0.5000 (multiplicity 4)  8 Ag 3.16

Summary:
As for the formation energy from raw total energies: 0.06 eV per atom. For the total magnetic moment, the calculation gives 0.000 Bohr magnetons per cell. The value obtained for the calculated density is 9.35 g cm⁻³. Its energy above the most stable polymorph in this dataset is 0.030 eV/atom.

---

No. 2
VASP calculation (PBE) on crystalline TlAg6Te2 at its relaxed geometry.

Cell: 4.5228 4.5228 10.6296 Å, 90.00 90.00 90.00°
With the nearest neighbours (Å) after each atom.
Space group P4/mmm (No. 123)
One atom of each set of equivalent atoms:
1 Tl 0.0000 0.0000 0.0000 (multiplicity 1)  8 Te 3.66
2 Ag 0.0000 0.0000 0.5000 (multiplicity 1)  12 Ag 2.89-3.20
3 Ag 0.0000 0.5000 0.3308 (multiplicity 4)  2 Te 2.85, 4 Ag 2.89
4 Ag 0.5000 0.5000 0.5000 (multiplicity 1)  12 Ag 2.89-3.20
5 Te 0.5000 0.5000 0.1678 (multiplicity 2)  4 Ag 2.85

Summary:
As for the formation energy from raw total energies: -0.05 eV per atom. For the total magnetic moment, the calculation gives 0.000 Bohr magnetons per cell. The value obtained for the calculated density is 8.45 g cm⁻³.

---

No. 3
VASP calculation (PBE) on crystalline Tl2AgTe at its relaxed geometry.

Cell: 4.2802 4.2802 6.3800 Å, 90.00 90.00 90.00°
With the nearest neighbours (Å) after each atom.
Space group P4/mmm (No. 123)
One atom of each set of equivalent atoms:
1 Tl 0.0000 0.0000 0.2472 (multiplicity 2)  2 Tl 3.15-3.23, 4 Ag 3.41, 4 Te 3.43
2 Ag 0.5000 0.5000 0.0000 (multiplicity 1)  2 Te 3.19, 8 Tl 3.41
3 Te 0.5000 0.5000 0.5000 (multiplicity 1)  2 Ag 3.19, 8 Tl 3.43

Summary:
As for the formation energy from raw total energies: 0.02 eV per atom. For the total magnetic moment, the calculation gives 0.000 Bohr magnetons per cell. The value obtained for the calculated density is 9.15 g cm⁻³. Its energy above the most stable polymorph in this dataset is 0.093 eV/atom.

---

No. 4
VASP calculation (PBE) on crystalline Tl2AgTe4 at its relaxed geometry.

Cell: 10.8431 13.3557 6.5241 Å, 90.00 90.00 90.00°
With the nearest neighbours (Å) after each atom.
Space group Ibam (No. 72)
One atom of each set of equivalent atoms:
1 Tl 0.2221 0.0979 0.0000 (multiplicity 8)  8 Te 3.49-3.81, 2 Ag 3.67
2 Ag 0.0000 0.5000 0.2500 (multiplicity 4)  4 Te 2.86
3 Te 0.1097 0.3482 0.0000 (multiplicity 8)  1 Te 2.78, 2 Ag 2.86
4 Te 0.1340 0.1566 0.5000 (multiplicity 8)  1 Te 2.78

Summary:
As for the formation energy from raw total energies: -0.09 eV per atom. For the total magnetic moment, the calculation gives 0.000 Bohr magnetons per cell. The value obtained for the calculated density is 7.22 g cm⁻³.

---

No. 5
VASP calculation (PBE) on crystalline TlAg2Te at its relaxed geometry.

Cell: 3.5283 3.5283 27.7210 Å, 90.00 90.00 120.00°
With the nearest neighbours (Å) after each atom.
Space group R3m (No. 160, hexagonal axes)
One atom of each set of equivalent atoms:
1 Tl 0.0000 0.0000 0.0000 (multiplicity 3)  3 Ag 3.07
2 Ag 0.0000 0.0000 0.4876 (multiplicity 3)  3 Ag 2.84, 3 Te 2.96
3 Ag 0.0000 0.0000 0.7494 (multiplicity 3)  3 Ag 2.84, 3 Tl 3.07
4 Te 0.0000 0.0000 0.2315 (multiplicity 3)  3 Ag 2.96

Summary:
As for the formation energy from raw total energies: 0.16 eV per atom. For the total magnetic moment, the calculation gives 0.000 Bohr magnetons per cell. The value obtained for the calculated density is 9.13 g cm⁻³. Its energy above the most stable polymorph in this dataset is 0.131 eV/atom.

---

No. 6
VASP calculation (PBE) on crystalline TlAg2Te at its relaxed geometry.

Cell: 7.3782 7.3782 7.3782 Å, 90.00 90.00 90.00°
With the nearest neighbours (Å) after each atom.
Space group F-43m (No. 216)
One atom of each set of equivalent atoms:
1 Tl 0.0000 0.0000 0.0000 (multiplicity 4)  4 Te 3.19, 4 Ag 3.19
2 Ag 0.0000 0.0000 0.5000 (multiplicity 4)  4 Te 3.19, 4 Ag 3.19
3 Ag 0.2500 0.2500 0.7500 (multiplicity 4)  4 Tl 3.19, 4 Ag 3.19
4 Te 0.2500 0.2500 0.2500 (multiplicity 4)  4 Tl 3.19, 4 Ag 3.19

Summary:
As for the formation energy from raw total energies: 0.17 eV per atom. For the total magnetic moment, the calculation gives 0.000 Bohr magnetons per cell. The value obtained for the calculated density is 9.06 g cm⁻³. Its energy above the most stable polymorph in this dataset is 0.142 eV/atom.

---

No. 7
VASP calculation (PBE) on crystalline Tl2Ag2Te at its relaxed geometry.

Cell: 6.6213 6.6213 5.1662 Å, 90.00 90.00 90.00°
With the nearest neighbours (Å) after each atom.
Space group P4/mmm (No. 123)
One atom of each set of equivalent atoms:
1 Tl 0.0000 0.5000 0.0000 (multiplicity 2)  2 Te 3.31
2 Ag 0.0000 0.0000 0.5000 (multiplicity 1)  2 Te 2.58
3 Ag 0.5000 0.5000 0.5000 (multiplicity 1)  8 Tl 4.20, 4 Ag 4.68
4 Te 0.0000 0.0000 0.0000 (multiplicity 1)  2 Ag 2.58

Summary:
As for the formation energy from raw total energies: 0.41 eV per atom. For the total magnetic moment, the calculation gives 0.000 Bohr magnetons per cell. The value obtained for the calculated density is 5.51 g cm⁻³. Its energy above the most stable polymorph in this dataset is 0.432 eV/atom.

---

No. 8
VASP calculation (PBE) on crystalline TlAgTe4 at its relaxed geometry.

Cell: 22.0588 4.6250 7.9478 Å, 90.00 104.55 90.00°
With the nearest neighbours (Å) after each atom.
Space group C2/c (No. 15)
One atom of each set of equivalent atoms:
1 Tl 0.0000 0.2350 0.2500 (multiplicity 4)  6 Te 3.11-3.38
2 Ag 0.2500 0.2500 0.5000 (multiplicity 4)  4 Te 2.78-2.85
3 Te 0.0891 0.2335 0.6638 (multiplicity 8)  1 Te 2.82, 1 Tl 3.11
4 Te 0.1852 0.1640 0.1562 (multiplicity 8)  2 Ag 2.78-2.85, 1 Te 2.82

Summary:
As for the formation energy from raw total energies: -0.01 eV per atom. For the total magnetic moment, the calculation gives 0.000 Bohr magnetons per cell. The value obtained for the calculated density is 6.96 g cm⁻³. Its energy above the most stable polymorph in this dataset is 0.000 eV/atom.